A plane-wave DFT calculation with PBE was carried out for an optimized crystal structure of CeSm2S4.

* energy above the most stable polymorph in this dataset: 0.00 eV/f.u.
* magnetization: 0.18 μB/atom
* symmetry: Cmcm (63)

Cell lengths 3.9410, 6.9254, 13.3608 Å; angles 90.00, 90.00, 106.53 degrees
Closest atoms and distances in Å follow each position.
Positions (direct):
S 0.2258 0.4516 0.8772  3 Sm 2.84, 2 Ce 2.94
S 0.7742 0.5484 0.1228  3 Sm 2.84, 2 Ce 2.94
Sm 0.8692 0.7385 0.9320  6 S 2.76-2.84
Ce 0.6223 0.2445 0.7500  6 S 2.84-2.94
Sm 0.1308 0.2615 0.4320  6 S 2.76-2.84
Sm 0.1308 0.2615 0.0680  6 S 2.76-2.84
S 0.5000 0.0000 0.0000  4 Sm 2.78
S 0.9682 0.9364 0.7500  2 Sm 2.76, 2 Ce 2.84
S 0.0318 0.0636 0.2500  2 Sm 2.76, 2 Ce 2.84
S 0.7742 0.5484 0.3772  3 Sm 2.84, 2 Ce 2.94
Ce 0.3777 0.7555 0.2500  6 S 2.84-2.94
Sm 0.8692 0.7385 0.5680  6 S 2.76-2.84
S 0.2258 0.4516 0.6228  3 Sm 2.84, 2 Ce 2.94
S 0.5000 0.0000 0.5000  4 Sm 2.78

=====

A plane-wave DFT calculation with PBE was carried out for an optimized crystal structure of Ce5Sm2S12.

* magnetization: 0.12 μB/atom
* raw total energy: -123.355 eV per formula unit
* symmetry: C2/m (12)

Cell lengths 8.0440, 8.2911, 9.4620 Å; angles 108.14, 90.00, 119.02 degrees
Closest atoms and distances in Å follow each position.
Positions (direct):
S 0.4791 0.9582 0.1888  2 Sm 2.80, 2 Ce 2.85-3.07
Ce 0.3012 0.6024 0.6113  7 S 2.77-3.07
S 0.9321 0.8641 0.1537  2 Sm 2.83, 2 Ce 2.88-3.07
S 0.0796 0.5985 0.8487  3 Ce 2.75-2.87, 1 Sm 2.76
S 0.5190 0.5985 0.8487  3 Ce 2.75-2.87, 1 Sm 2.76
S 0.6425 0.7253 0.4995  3 Ce 2.66-2.85
S 0.9204 0.4015 0.1513  3 Ce 2.75-2.87, 1 Sm 2.76
S 0.9172 0.2747 0.5005  3 Ce 2.66-2.85
S 0.3575 0.2747 0.5005  3 Ce 2.66-2.85
Sm 0.7547 0.0000 0.0000  6 S 2.76-2.83
S 0.0679 0.1359 0.8463  2 Sm 2.83, 2 Ce 2.88-3.07
Sm 0.2453 0.0000 0.0000  6 S 2.76-2.83
Ce 0.6988 0.3976 0.3887  7 S 2.77-3.07
S 0.0828 0.7253 0.4995  3 Ce 2.66-2.85
S 0.5209 0.0418 0.8112  2 Sm 2.80, 2 Ce 2.85-3.07
Ce 0.0000 0.0000 0.5000  4 S 2.66
Ce 0.7303 0.4607 0.9492  6 S 2.75-2.88
S 0.4810 0.4015 0.1513  3 Ce 2.75-2.87, 1 Sm 2.76
Ce 0.2697 0.5393 0.0508  6 S 2.75-2.88

=====

A plane-wave DFT calculation with PBE was carried out for an optimized crystal structure of Ce2SmS3.

* magnetization: 0.16 μB/atom
* raw total energy: -41.225 eV per formula unit
* symmetry: Immm (71)

Cell lengths 4.0115, 5.6791, 6.9525 Å; angles 114.11, 106.77, 90.00 degrees
Closest atoms and distances in Å follow each position.
Positions (direct):
S 0.8339 0.3339 0.1678  2 Sm 2.83, 4 Ce 2.84-2.85
S 0.1661 0.6661 0.8322  2 Sm 2.83, 4 Ce 2.84-2.85
Ce 0.1661 0.1661 0.8322  6 S 2.83-2.85
Sm 0.5000 0.5000 0.5000  6 S 2.83-2.84
Ce 0.8339 0.8339 0.1678  6 S 2.83-2.85
S 0.5000 0.0000 0.5000  4 Ce 2.83, 2 Sm 2.84

=====

A plane-wave DFT calculation with PBE was carried out for an optimized crystal structure of CeSm3S6.

* magnetization: 0.10 μB/atom
* raw total energy: -65.250 eV per formula unit
* symmetry: P2_1/m (11)

Cell lengths 4.0615, 11.2572, 11.5411 Å; angles 108.25, 90.00, 90.00 degrees
Closest atoms and distances in Å follow each position.
Positions (direct):
Ce 0.7500 0.0462 0.6903  8 S 2.91-3.10
S 0.7500 0.7435 0.2758  3 Sm 2.85-2.92, 2 Ce 3.05
S 0.7500 0.9172 0.0982  3 Sm 2.80-2.86, 2 Ce 3.10
S 0.2500 0.5218 0.3882  4 Sm 2.73-2.93
S 0.7500 0.8103 0.7504  3 Sm 2.73-2.77, 1 Ce 2.95
S 0.7500 0.1132 0.4617  3 Ce 2.91-2.96, 2 Sm 3.01
S 0.7500 0.3988 0.0632  4 Sm 2.77-2.83
S 0.2500 0.8868 0.5383  3 Ce 2.91-2.96, 2 Sm 3.01
S 0.2500 0.6012 0.9368  4 Sm 2.77-2.83
S 0.2500 0.2565 0.7242  3 Sm 2.85-2.92, 2 Ce 3.05
Sm 0.7500 0.1608 0.0844  6 S 2.73-2.86
Sm 0.7500 0.4345 0.8315  6 S 2.73-2.85
Sm 0.2500 0.5655 0.1685  6 S 2.73-2.85
S 0.2500 0.1897 0.2496  3 Sm 2.73-2.77, 1 Ce 2.95
Sm 0.7500 0.6812 0.5030  7 S 2.76-3.01
Sm 0.2500 0.8392 0.9156  6 S 2.73-2.86
S 0.7500 0.4782 0.6118  4 Sm 2.73-2.93
Ce 0.2500 0.9538 0.3097  8 S 2.91-3.10
Sm 0.2500 0.3188 0.4970  7 S 2.76-3.01
S 0.2500 0.0828 0.9018  3 Sm 2.80-2.86, 2 Ce 3.10

=====

A plane-wave DFT calculation with PBE was carried out for an optimized crystal structure of Ce2SmS4.

* energy above the most stable polymorph in this dataset: 0.34 eV/f.u.
* magnetization: 0.33 μB/atom
* symmetry: Cmcm (63)

Cell lengths 3.9070, 7.0086, 13.3723 Å; angles 90.00, 90.00, 106.18 degrees
Closest atoms and distances in Å follow each position.
Positions (direct):
Ce 0.8680 0.7361 0.5699  6 S 2.80-2.87
S 0.2227 0.4454 0.8754  3 Ce 2.86-2.87, 2 Sm 2.90
S 0.7773 0.5546 0.3754  3 Ce 2.86-2.87, 2 Sm 2.90
Sm 0.3759 0.7518 0.2500  6 S 2.81-2.90
Ce 0.8680 0.7361 0.9301  6 S 2.80-2.87
S 0.2227 0.4454 0.6246  3 Ce 2.86-2.87, 2 Sm 2.90
S 0.5000 0.0000 0.0000  4 Ce 2.80
S 0.9738 0.9476 0.7500  2 Ce 2.80, 2 Sm 2.81
S 0.7773 0.5546 0.1246  3 Ce 2.86-2.87, 2 Sm 2.90
Ce 0.1320 0.2639 0.4301  6 S 2.80-2.87
S 0.0262 0.0524 0.2500  2 Ce 2.80, 2 Sm 2.81
Ce 0.1320 0.2639 0.0699  6 S 2.80-2.87
Sm 0.6241 0.2482 0.7500  6 S 2.81-2.90
S 0.5000 0.0000 0.5000  4 Ce 2.80

=====

A plane-wave DFT calculation with PBE was carried out for an optimized crystal structure of Ce3SmS6.

* energy above the most stable polymorph in this dataset: 0.00 eV/f.u.
* magnetization: 0.30 μB/atom
* symmetry: R-3 (148)

Cell lengths 8.2261, 8.2261, 8.2261 Å; angles 99.13, 99.13, 99.13 degrees
Closest atoms and distances in Å follow each position.
Positions (direct):
Sm 0.5000 0.5000 0.5000  6 S 2.76
Ce 0.3834 0.7134 0.8867  6 S 2.75-3.04
Ce 0.7134 0.8867 0.3834  6 S 2.75-3.04
S 0.6760 0.9372 0.0574  3 Ce 2.75-2.97, 1 Sm 2.76
S 0.5762 0.4323 0.8183  1 Sm 2.76, 3 Ce 2.87-3.04
S 0.3240 0.0628 0.9426  3 Ce 2.75-2.97, 1 Sm 2.76
Ce 0.2866 0.1133 0.6166  6 S 2.75-3.04
S 0.0574 0.6760 0.9372  3 Ce 2.75-2.97, 1 Sm 2.76
Sm 0.0000 0.0000 0.0000  6 S 2.76
Ce 0.6166 0.2866 0.1133  6 S 2.75-3.04
S 0.4238 0.5677 0.1817  1 Sm 2.76, 3 Ce 2.87-3.04
S 0.4323 0.8183 0.5762  1 Sm 2.76, 3 Ce 2.87-3.04
S 0.8183 0.5762 0.4323  1 Sm 2.76, 3 Ce 2.87-3.04
S 0.0628 0.9426 0.3240  3 Ce 2.75-2.97, 1 Sm 2.76
Ce 0.8867 0.3834 0.7134  6 S 2.75-3.04
S 0.5677 0.1817 0.4238  1 Sm 2.76, 3 Ce 2.87-3.04
S 0.9372 0.0574 0.6760  3 Ce 2.75-2.97, 1 Sm 2.76
S 0.9426 0.3240 0.0628  3 Ce 2.75-2.97, 1 Sm 2.76
S 0.1817 0.4238 0.5677  1 Sm 2.76, 3 Ce 2.87-3.04
Ce 0.1133 0.6166 0.2866  6 S 2.75-3.04

=====

A plane-wave DFT calculation with PBE was carried out for an optimized crystal structure of Ce6SmS12.

* magnetization: 0.16 μB/atom
* raw total energy: -126.286 eV per formula unit
* symmetry: R-3 (148)

Cell lengths 8.0645, 8.0645, 8.0645 Å; angles 99.85, 99.85, 99.85 degrees
Closest atoms and distances in Å follow each position.
Positions (direct):
Ce 0.3029 0.6172 0.1361  7 S 2.74-3.05
S 0.6720 0.0593 0.9344  3 Ce 2.74-3.05, 1 Sm 2.75
Ce 0.1361 0.3029 0.6172  7 S 2.74-3.05
S 0.5800 0.4320 0.1773  4 Ce 2.79-2.90
S 0.4320 0.1773 0.5800  4 Ce 2.79-2.90
Ce 0.8639 0.6971 0.3828  7 S 2.74-3.05
Ce 0.3828 0.8639 0.6971  7 S 2.74-3.05
S 0.3280 0.9407 0.0656  3 Ce 2.74-3.05, 1 Sm 2.75
Sm 0.0000 0.0000 0.0000  6 S 2.75
S 0.0593 0.9344 0.6720  3 Ce 2.74-3.05, 1 Sm 2.75
Ce 0.6971 0.3828 0.8639  7 S 2.74-3.05
S 0.9407 0.0656 0.3280  3 Ce 2.74-3.05, 1 Sm 2.75
S 0.0656 0.3280 0.9407  3 Ce 2.74-3.05, 1 Sm 2.75
Ce 0.6172 0.1361 0.3029  7 S 2.74-3.05
S 0.5680 0.8227 0.4200  4 Ce 2.79-2.90
S 0.1773 0.5800 0.4320  4 Ce 2.79-2.90
S 0.8227 0.4200 0.5680  4 Ce 2.79-2.90
S 0.9344 0.6720 0.0593  3 Ce 2.74-3.05, 1 Sm 2.75
S 0.4200 0.5680 0.8227  4 Ce 2.79-2.90

=====

A plane-wave DFT calculation with PBE was carried out for an optimized crystal structure of CeSm5S7.

* magnetization: 0.08 μB/atom
* raw total energy: -84.890 eV per formula unit
* symmetry: C2/m (12)

Cell lengths 3.9626, 6.9128, 23.6185 Å; angles 90.05, 90.00, 106.66 degrees
Closest atoms and distances in Å follow each position.
Positions (direct):
S 0.5564 0.1127 0.7500  2 Sm 2.78-2.79, 2 Ce 2.83
S 0.1854 0.3707 0.3207  3 Sm 2.83, 2 Ce 2.94
Sm 0.5451 0.0902 0.1465  6 S 2.79-2.83
Sm 0.7242 0.4484 0.5705  6 S 2.81-2.84
Sm 0.2767 0.5533 0.0706  6 S 2.81-2.84
S 0.1861 0.3722 0.1794  3 Sm 2.83-2.84, 2 Ce 2.94
Sm 0.5446 0.0892 0.3535  6 S 2.78-2.83
Sm 0.2762 0.5525 0.4294  6 S 2.81-2.83
S 0.6349 0.2699 0.4616  6 Sm 2.82-2.83
S 0.0930 0.1861 0.8880  5 Sm 2.81-2.92
S 0.0933 0.1866 0.6121  5 Sm 2.81-2.92
S 0.9070 0.8141 0.3878  5 Sm 2.81-2.92
S 0.3655 0.7310 0.5384  6 Sm 2.82-2.83
S 0.8150 0.6301 0.6793  3 Sm 2.83-2.84, 2 Ce 2.94
Sm 0.4556 0.9112 0.8535  6 S 2.79-2.83
Ce 0.2094 0.4189 0.7498  6 S 2.83-2.94
S 0.9077 0.8155 0.1120  5 Sm 2.81-2.92
S 0.6352 0.2705 0.0384  6 Sm 2.82-2.83
S 0.4442 0.8884 0.2499  2 Sm 2.78-2.79, 2 Ce 2.83
Sm 0.0004 0.0008 0.0000  6 S 2.82-2.92
S 0.8146 0.6293 0.8206  3 Sm 2.83-2.84, 2 Ce 2.94
Sm 0.0002 0.0004 0.4999  6 S 2.82-2.92
Sm 0.7241 0.4482 0.9295  6 S 2.81-2.84
Sm 0.4558 0.9117 0.6465  6 S 2.78-2.83
Ce 0.7911 0.5822 0.2504  6 S 2.83-2.94
S 0.3655 0.7311 0.9616  6 Sm 2.82-2.83

=====

A plane-wave DFT calculation with PBE was carried out for an optimized crystal structure of CeSm3S4.

* energy above the most stable polymorph in this dataset: 0.03 eV/f.u.
* magnetization: 0.11 μB/atom
* symmetry: Pm-3m (221)

Cell lengths 5.6744, 5.6744, 5.6744 Å; angles 90.00, 90.00, 90.00 degrees
Closest atoms and distances in Å follow each position.
Positions (direct):
Sm 0.0000 0.5000 0.5000  6 S 2.84
S 0.5000 0.5000 0.5000  6 Sm 2.84
S 0.5000 0.0000 0.0000  4 Sm 2.84, 2 Ce 2.84
S 0.0000 0.5000 0.0000  4 Sm 2.84, 2 Ce 2.84
Sm 0.5000 0.5000 0.0000  6 S 2.84
Ce 0.0000 0.0000 0.0000  6 S 2.84
Sm 0.5000 0.0000 0.5000  6 S 2.84
S 0.0000 0.0000 0.5000  4 Sm 2.84, 2 Ce 2.84